The following is a DFT calculation (GGA-PBE) of Be2Cu2Mo after structural relaxation.

The structure in CIF format:
```
data_Be2Cu2Mo
_chemical_formula_sum 'Be4 Cu4 Mo2'
_cell_length_a 6.636
_cell_length_b 6.636
_cell_length_c 2.525
_cell_angle_alpha 90.00
_cell_angle_beta 90.00
_cell_angle_gamma 90.00
_space_group_name_H-M_alt 'P 1'
_space_group_IT_number 1
loop_
_space_group_symop_operation_xyz
'x,y,z'
loop_
_atom_site_label
_atom_site_type_symbol
_atom_site_fract_x
_atom_site_fract_y
_atom_site_fract_z
Be1 Be 0.366 0.866 0.000
Be2 Be 0.866 0.634 0.000
Be3 Be 0.634 0.134 0.000
Be4 Be 0.134 0.366 0.000
Mo1 Mo 0.000 0.000 0.000
Mo2 Mo 0.500 0.500 0.000
Cu1 Cu 0.161 0.661 0.500
Cu2 Cu 0.661 0.839 0.500
Cu3 Cu 0.839 0.339 0.500
Cu4 Cu 0.339 0.161 0.500
```

Values from the calculation:
The value obtained for the offset from the most stable computed form is 0 meV per atom.

---

The following is a DFT calculation (GGA-PBE) of Hf3GaPb after structural relaxation.

The structure in CIF format:
```
data_Hf3GaPb
_chemical_formula_sum 'Hf12 Ga4 Pb4'
_cell_length_a 6.493
_cell_length_b 6.493
_cell_length_c 13.422
_cell_angle_alpha 91.45
_cell_angle_beta 91.45
_cell_angle_gamma 55.17
_space_group_name_H-M_alt 'P 1'
_space_group_IT_number 1
loop_
_space_group_symop_operation_xyz
'x,y,z'
loop_
_atom_site_label
_atom_site_type_symbol
_atom_site_fract_x
_atom_site_fract_y
_atom_site_fract_z
Hf1 Hf 0.824 0.838 0.844
Hf2 Hf 0.162 0.176 0.656
Hf3 Hf 0.176 0.162 0.156
Hf4 Hf 0.838 0.824 0.344
Hf5 Hf 0.669 0.673 0.653
Hf6 Hf 0.327 0.331 0.847
Hf7 Hf 0.331 0.327 0.347
Hf8 Hf 0.673 0.669 0.153
Hf9 Hf 0.278 0.789 0.951
Hf10 Hf 0.211 0.722 0.549
Hf11 Hf 0.789 0.278 0.451
Hf12 Hf 0.722 0.211 0.049
Ga1 Ga 0.000 0.500 0.500
Ga2 Ga 0.500 0.000 0.000
Ga3 Ga 0.750 0.250 0.250
Ga4 Ga 0.250 0.750 0.750
Pb1 Pb 0.829 0.345 0.858
Pb2 Pb 0.655 0.171 0.642
Pb3 Pb 0.171 0.655 0.142
Pb4 Pb 0.345 0.829 0.358
```

Values from the calculation:
The value obtained for the offset from the most stable computed form is 0 meV per atom.

---

The following is a DFT calculation (GGA-PBE) of BaScW2 after structural relaxation.

The structure in CIF format:
```
data_BaScW2
_chemical_formula_sum 'Ba1 Sc1 W2'
_cell_length_a 2.884
_cell_length_b 2.884
_cell_length_c 10.594
_cell_angle_alpha 90.00
_cell_angle_beta 90.00
_cell_angle_gamma 96.51
_space_group_name_H-M_alt 'P 1'
_space_group_IT_number 1
loop_
_space_group_symop_operation_xyz
'x,y,z'
loop_
_atom_site_label
_atom_site_type_symbol
_atom_site_fract_x
_atom_site_fract_y
_atom_site_fract_z
Ba1 Ba 0.500 0.500 0.250
Sc1 Sc 0.500 0.500 0.750
W1 W 0.000 0.000 0.966
W2 W 0.000 0.000 0.534
```

Values from the calculation:
The value obtained for the offset from the most stable computed form is 489 meV per atom.

---

Spin magnetization, respectively: 0.0, 0.0, 0.0 μB/f.u..